VASP calculation (GGA-PBE) on a relaxed structure of CoIrPb.

E above lowest polymorph	34	meV per atom
ΔH_f (0 K)	0.5355	eV/atom
SG	No. 187

Cell lengths 4.092, 4.092, 3.896 Å; angles 90.00, 90.00, 120.00 degrees
Sites, in units of the cell vectors:
Co (0.000, 0.000, 0.000)
Ir (0.667, 0.333, 0.000)
Pb (0.333, 0.667, 0.500)

VASP calculation (GGA-PBE) on a relaxed structure of CoIr2Pb.

ΔH_f (0 K)	0.4261	eV/atom
SG	No. 12

Cell lengths 4.739, 4.739, 4.894 Å; angles 99.83, 99.83, 36.37 degrees
Sites, in units of the cell vectors:
Co (0.000, 0.000, 0.000)
Ir (0.260, 0.260, 0.781)
Ir (0.740, 0.740, 0.219)
Pb (0.500, 0.500, 0.500)

VASP calculation (GGA-PBE) on a relaxed structure of CoIrPb2.

E above lowest polymorph	29	meV per atom
ΔH_f (0 K)	0.3300	eV/atom
SG	No. 6

Cell lengths 4.015, 3.999, 5.421 Å; angles 90.00, 111.60, 90.00 degrees
Sites, in units of the cell vectors:
Co (0.000, 0.000, 0.000)
Ir (0.865, 0.500, 0.733)
Pb (0.278, 0.000, 0.558)
Pb (0.575, 0.500, 0.154)

VASP calculation (GGA-PBE) on a relaxed structure of CoIr2Pb.

ΔH_f (0 K)	0.4875	eV/atom
SG	No. 99

Cell lengths 2.933, 2.933, 7.663 Å; angles 90.00, 90.00, 90.00 degrees
Sites, in units of the cell vectors:
Co (0.000, 0.000, 0.000)
Ir (0.000, 0.000, 0.426)
Ir (0.500, 0.500, 0.197)
Pb (0.500, 0.500, 0.722)

VASP calculation (GGA-PBE) on a relaxed structure of CoIr2Pb.

ΔH_f (0 K)	0.4682	eV/atom
SG	No. 47

Cell lengths 2.951, 3.640, 6.013 Å; angles 90.00, 90.00, 90.00 degrees
Sites, in units of the cell vectors:
Co (0.000, 0.000, 0.000)
Ir (0.500, 0.500, 0.218)
Ir (0.500, 0.500, 0.782)
Pb (0.000, 0.000, 0.500)

VASP calculation (GGA-PBE) on a relaxed structure of CoIrPb.

E above lowest polymorph	0	meV per atom
ΔH_f (0 K)	0.5017	eV/atom
SG	No. 216

Cell lengths 4.369, 4.369, 4.369 Å; angles 60.00, 60.00, 60.00 degrees
Sites, in units of the cell vectors:
Co (0.000, 0.000, 0.000)
Ir (0.750, 0.750, 0.750)
Pb (0.500, 0.500, 0.500)

Question: The highest ΔH_f (0 K) belongs to which entry?
Answer: number 1

Question: Which of these has the highest ΔH_f (0 K)?
Answer: number 1

Question: What is the ΔH_f (0 K) in the first record?
Answer: 0.5355 eV/atom

Question: Which of these has the lowest ΔH_f (0 K)?
Answer: CoIrPb2